# PBE CaAg2O4, optimized geometry
data_CaAg2O4
_chemical_formula_sum 'Ca4 Ag8 O16'
_symmetry_space_group_name_H-M 'P 1'
_symmetry_Int_Tables_number 1
_cell_length_a 3.487
_cell_length_b 11.116
_cell_length_c 9.947
_cell_angle_alpha 90.00
_cell_angle_beta 90.00
_cell_angle_gamma 90.00
loop_
_symmetry_equiv_pos_as_xyz
'x,y,z'
loop_
_atom_site_label
_atom_site_type_symbol
_atom_site_fract_x
_atom_site_fract_y
_atom_site_fract_z
Ca1 Ca 0.111 0.150 0.250
Ca2 Ca 0.111 0.350 0.750
Ca3 Ca 0.889 0.650 0.250
Ca4 Ca 0.889 0.850 0.750
Ag1 Ag 0.359 0.614 0.570
Ag2 Ag 0.359 0.614 0.930
Ag3 Ag 0.359 0.886 0.070
Ag4 Ag 0.359 0.886 0.430
Ag5 Ag 0.641 0.114 0.570
Ag6 Ag 0.641 0.114 0.930
Ag7 Ag 0.641 0.386 0.070
Ag8 Ag 0.641 0.386 0.430
O1 O 0.026 0.750 0.000
O2 O 0.026 0.750 0.500
O3 O 0.372 0.545 0.119
O4 O 0.372 0.545 0.381
O5 O 0.372 0.955 0.619
O6 O 0.372 0.955 0.881
O7 O 0.386 0.702 0.750
O8 O 0.386 0.798 0.250
O9 O 0.614 0.202 0.750
O10 O 0.614 0.298 0.250
O11 O 0.628 0.045 0.119
O12 O 0.628 0.045 0.381
O13 O 0.628 0.455 0.619
O14 O 0.628 0.455 0.881
O15 O 0.974 0.250 0.000
O16 O 0.974 0.250 0.500
# SG: Pbcm (57)
# E above lowest polymorph in meV per atom: 33
# Formation energy from raw total energies in eV/atom: -0.91